Entry 1:
A plane-wave DFT calculation with GGA-PBEsol was carried out for crystalline Tc2WAu at its relaxed geometry.

Cell lengths 2.7376, 2.7376, 8.0873 Å; angles 90.00, 90.00, 90.00 degrees
Last column: nearest neighbours and their distance in Å.
Fractional positions:
Tc: 0.0000 0.0000 0.2375  4 W 2.73, 4 Tc 2.74, 4 Au 2.87
Tc: 0.0000 0.0000 0.7625  4 W 2.73, 4 Tc 2.74, 4 Au 2.87
W: 0.5000 0.5000 0.0000  8 Tc 2.73, 4 W 2.74
Au: 0.5000 0.5000 0.5000  4 Au 2.74, 8 Tc 2.87

- Raw total energy: -0.3599 hartree per atom
- Density of states at the Fermi level: 3.598 states/eV/f.u.
- Formation energy from the elements: 0.272 eV/atom

=====

Entry 2:
A plane-wave DFT calculation with GGA-PBEsol was carried out for crystalline Tc2WAu at its relaxed geometry.

Cell lengths 3.9476, 3.9476, 3.8034 Å; angles 90.00, 90.00, 90.00 degrees
Last column: nearest neighbours and their distance in Å.
Fractional positions:
Tc: 0.0000 0.5000 0.0000  4 W 2.74, 4 Au 2.74, 4 Tc 2.79
Tc: 0.5000 0.0000 0.0000  4 W 2.74, 4 Au 2.74, 4 Tc 2.79
W: 0.0000 0.0000 0.5000  8 Tc 2.74, 4 Au 2.79
Au: 0.5000 0.5000 0.5000  8 Tc 2.74, 4 W 2.79

- Raw total energy: -0.3648 hartree per atom
- Density of states at the Fermi level: 2.957 states/eV/f.u.
- Formation energy from the elements: 0.140 eV/atom

=====

Entry 3:
A plane-wave DFT calculation with GGA-PBEsol was carried out for crystalline Tc2WAu at its relaxed geometry.

Cell lengths 2.7427, 2.7427, 8.0220 Å; angles 90.00, 90.00, 90.00 degrees
Last column: nearest neighbours and their distance in Å.
Fractional positions:
Tc: 0.0000 0.0000 0.0000  8 Tc 2.60-2.74, 4 Au 2.90
Tc: 0.5000 0.5000 0.2165  8 Tc 2.60-2.74, 4 W 2.78
W: 0.0000 0.0000 0.4652  4 W 2.74, 4 Tc 2.78, 4 Au 2.88
Au: 0.5000 0.5000 0.7307  4 Au 2.74, 4 W 2.88, 4 Tc 2.90

- Raw total energy: -0.3627 hartree per atom
- Density of states at the Fermi level: 3.498 states/eV/f.u.
- Formation energy from the elements: 0.196 eV/atom

=====

Which of these has the lowest density of states at the Fermi level?
number 2

=====

Which of these has the highest density of states at the Fermi level?
number 1